DFT (PBE) results for a geometry-optimized La2PtRh structure.

- E_form: -650 meV per atom
- Electronic total energy: -51.696 eV/cell
- Total magnetic moment: 0.0 μB per formula unit

Unit cell a=7.748 b=7.748 c=6.405 alpha=52.78 beta=52.78 gamma=90.00
Fractional coordinates of all 8 atoms:
La: 0.375 0.388 0.750
Rh: 0.250 0.750 0.500
La: 0.612 0.125 0.250
Pt: 0.000 0.000 0.000
Pt: 0.750 0.250 0.500
Rh: 0.500 0.500 0.000
La: 0.138 0.625 0.250
La: 0.875 0.862 0.750